LiHfO | PBE | relaxed

Excess energy over the best structure of this formula in the dataset ... 366 meV/atom
Formation energy (no corrections) ... -1410 meV per atom

Cell lengths 3.421, 3.421, 10.728 Å; angles 80.83, 80.83, 60.00 degrees
Fractional positions:
Hf (0.286, 0.286, 0.143)
Hf (0.714, 0.714, 0.857)
Li (0.127, 0.127, 0.618)
Li (0.873, 0.873, 0.382)
O (0.358, 0.358, 0.926)
O (0.642, 0.642, 0.074)


ThTiBeIr2 | PBE | relaxed

ΔH_f (0 K) ... -712 meV/atom

Cell lengths 3.891, 3.891, 6.565 Å; angles 107.24, 107.24, 90.00 degrees
Fractional positions:
Th (0.000, 0.000, 0.000)
Ti (0.250, 0.750, 0.500)
Be (0.750, 0.250, 0.500)
Ir (0.617, 0.617, 0.234)
Ir (0.383, 0.383, 0.766)


Pa2MoPd | PBE | relaxed

Excess energy over the best structure of this formula in the dataset ... 299 meV/atom
ΔH_f (0 K) ... 176 meV/atom

Cell lengths 3.107, 3.107, 10.231 Å; angles 81.27, 81.27, 60.00 degrees
Fractional positions:
Mo (0.500, 0.500, 0.500)
Pa (0.089, 0.089, 0.732)
Pa (0.911, 0.911, 0.268)
Pd (0.000, 0.000, 0.000)


Total moment readings, ordered: 0.0 0.0 0.0 μB/cell